{
  "formula": "VPO7",
  "functional": "GGA+U",
  "state": "optimized geometry",
  "total_energy_ev_per_cell": -111.543,
  "spacegroup": "P4/nmm, No. 129",
  "de_polymorph_ev_per_atom": 0.542,
  "magmom_total_mub_per_cell": 8.0,
  "lattice": [[6.277, 0.000, 0.000], [0.000, 6.277, 0.000], [0.000, 0.000, 6.877]],
  "species": ["V", "V", "P", "P", "O", "O", "O", "O", "O", "O", "O", "O", "O", "O", "O", "O", "O", "O"],
  "fractional_positions": [[0.250, 0.250, 0.089], [0.750, 0.750, 0.911], [0.250, 0.750, 0.000], [0.750, 0.250, 0.000], [0.054, 0.750, 0.864], [0.250, 0.250, 0.420], [0.250, 0.250, 0.856], [0.250, 0.554, 0.136], [0.250, 0.750, 0.500], [0.250, 0.946, 0.136], [0.446, 0.750, 0.864], [0.554, 0.250, 0.136], [0.750, 0.054, 0.864], [0.750, 0.250, 0.500], [0.750, 0.446, 0.864], [0.750, 0.750, 0.144], [0.750, 0.750, 0.580], [0.946, 0.250, 0.136]]
}